# KNaAsSe3, optimized geometry, DFT PBE
data_KNaAsSe3
_chemical_formula_sum 'K4 Na4 As4 Se12'
_cell_length_a 4.509
_cell_length_b 14.304
_cell_length_c 11.777
_cell_angle_alpha 90.00
_cell_angle_beta 90.00
_cell_angle_gamma 90.00
_symmetry_space_group_name_H-M 'C m c m'
_symmetry_Int_Tables_number 63
_symmetry_space_group_name_Hall '-C 2c 2'
loop_
_atom_site_label
_atom_site_fract_x
_atom_site_fract_y
_atom_site_fract_z
_atom_site_occupancy
K1 0.000 0.247 0.250 1
Na1 0.000 0.500 0.000 1
As1 0.000 0.036 0.750 1
Se1 0.000 0.133 0.588 1
Se2 0.000 0.449 0.750 1
# * magnetic moment: 0.0 μB per cell
# * formation energy without anion corrections: -4.117 eV per formula unit

=====

# KNaAs2Se, optimized geometry, DFT PBE
data_KNaAs2Se
_chemical_formula_sum 'K1 Na1 As2 Se1'
_cell_length_a 5.650
_cell_length_b 5.650
_cell_length_c 5.771
_cell_angle_alpha 90.00
_cell_angle_beta 90.00
_cell_angle_gamma 90.00
_symmetry_space_group_name_H-M 'P 4/m m m'
_symmetry_Int_Tables_number 123
_symmetry_space_group_name_Hall '-P 4 2'
loop_
_atom_site_label
_atom_site_fract_x
_atom_site_fract_y
_atom_site_fract_z
_atom_site_occupancy
K1 0.000 0.000 0.000 1
Na1 0.500 0.500 0.500 1
As1 0.000 0.500 0.000 1
Se1 0.000 0.000 0.500 1
# * magnetic moment: 1.3 μB per cell
# * formation energy without anion corrections: 4.239 eV per formula unit

=====

# KNaAsSe2, optimized geometry, DFT PBE
data_KNaAsSe2
_chemical_formula_sum 'K4 Na4 As4 Se8'
_cell_length_a 6.246
_cell_length_b 13.525
_cell_length_c 6.287
_cell_angle_alpha 90.00
_cell_angle_beta 90.00
_cell_angle_gamma 90.00
_symmetry_space_group_name_H-M 'C m m e'
_symmetry_Int_Tables_number 67
_symmetry_space_group_name_Hall '-C 2a 2'
loop_
_atom_site_label
_atom_site_fract_x
_atom_site_fract_y
_atom_site_fract_z
_atom_site_occupancy
K1 0.000 0.250 0.236 1
Na1 0.250 0.000 0.500 1
As1 0.000 0.000 0.000 1
Se1 0.000 0.151 0.743 1
# * magnetic moment: 0.0 μB per cell
# * formation energy without anion corrections: -2.666 eV per formula unit

=====

# KNaAsSe2, optimized geometry, DFT PBE
data_KNaAsSe2
_chemical_formula_sum 'K1 Na1 As1 Se2'
_cell_length_a 5.898
_cell_length_b 5.898
_cell_length_c 5.923
_cell_angle_alpha 90.00
_cell_angle_beta 90.00
_cell_angle_gamma 90.00
_symmetry_space_group_name_H-M 'P 4/m m m'
_symmetry_Int_Tables_number 123
_symmetry_space_group_name_Hall '-P 4 2'
loop_
_atom_site_label
_atom_site_fract_x
_atom_site_fract_y
_atom_site_fract_z
_atom_site_occupancy
K1 0.000 0.000 0.000 1
Na1 0.500 0.500 0.500 1
As1 0.000 0.000 0.500 1
Se1 0.000 0.500 0.000 1
# * magnetic moment: 2.9 μB per cell
# * formation energy without anion corrections: 2.910 eV per formula unit

=====

# KNa2AsSe4, optimized geometry, DFT PBE
data_KNa2AsSe4
_chemical_formula_sum 'K4 Na8 As4 Se16'
_cell_length_a 7.432
_cell_length_b 9.770
_cell_length_c 12.344
_cell_angle_alpha 90.00
_cell_angle_beta 90.00
_cell_angle_gamma 90.00
_symmetry_space_group_name_H-M 'I m m a'
_symmetry_Int_Tables_number 74
_symmetry_space_group_name_Hall '-I 2b 2'
loop_
_atom_site_label
_atom_site_fract_x
_atom_site_fract_y
_atom_site_fract_z
_atom_site_occupancy
K1 0.000 0.000 0.000 1
Na1 0.000 0.000 0.500 1
Na2 0.250 0.250 0.250 1
As1 0.250 0.250 0.750 1
Se1 0.000 0.044 0.752 1
Se2 0.166 0.250 0.519 1
# * magnetic moment: 0.0 μB per cell
# * formation energy without anion corrections: -4.333 eV per formula unit

=====

# K2NaSiAs2, optimized geometry, DFT PBE
data_K2NaSiAs2
_chemical_formula_sum 'K8 Na4 Si4 As8'
_cell_length_a 6.964
_cell_length_b 14.990
_cell_length_c 6.566
_cell_angle_alpha 90.00
_cell_angle_beta 90.00
_cell_angle_gamma 90.00
_symmetry_space_group_name_H-M 'I b a m'
_symmetry_Int_Tables_number 72
_symmetry_space_group_name_Hall '-I 2 2c'
loop_
_atom_site_label
_atom_site_fract_x
_atom_site_fract_y
_atom_site_fract_z
_atom_site_occupancy
K1 0.246 0.176 0.000 1
Na1 0.000 0.500 0.250 1
Si1 0.000 0.000 0.250 1
As1 0.198 0.090 0.500 1
# * magnetic moment: 0.0 μB per cell
# * formation energy without anion corrections: -1.999 eV per formula unit

=====

# KNaSiAs2, optimized geometry, DFT PBE
data_KNaSiAs2
_chemical_formula_sum 'K4 Na4 Si4 As8'
_cell_length_a 15.182
_cell_length_b 4.020
_cell_length_c 9.624
_cell_angle_alpha 90.00
_cell_angle_beta 98.09
_cell_angle_gamma 90.00
_symmetry_space_group_name_H-M 'C 1 2/m 1'
_symmetry_Int_Tables_number 12
loop_
_symmetry_equiv_pos_as_xyz
'x,y,z'
'-x,-y,-z'
'-x,y,-z'
'x,-y,z'
'x+1/2,y+1/2,z'
'-x+1/2,-y+1/2,-z'
'-x+1/2,y+1/2,-z'
'x+1/2,-y+1/2,z'
loop_
_atom_site_label
_atom_site_fract_x
_atom_site_fract_y
_atom_site_fract_z
_atom_site_occupancy
K1 0.118 0.000 0.155 1
Na1 0.205 0.000 0.597 1
Si1 0.050 0.500 0.661 1
As1 0.096 0.000 0.806 1
As2 0.104 0.500 0.434 1
# * magnetic moment: 0.0 μB per cell
# * formation energy without anion corrections: -1.314 eV per formula unit

=====

# K3Na2SnAs3, optimized geometry, DFT PBE
data_K3Na2SnAs3
_chemical_formula_sum 'K24 Na16 Sn8 As24'
_cell_length_a 20.594
_cell_length_b 6.849
_cell_length_c 15.597
_cell_angle_alpha 90.00
_cell_angle_beta 90.00
_cell_angle_gamma 90.00
_symmetry_space_group_name_H-M 'C m c e'
_symmetry_Int_Tables_number 64
_symmetry_space_group_name_Hall '-C 2ac 2'
loop_
_atom_site_label
_atom_site_fract_x
_atom_site_fract_y
_atom_site_fract_z
_atom_site_occupancy
K1 0.000 0.240 0.178 1
K2 0.167 0.233 0.824 1
Na1 0.081 0.000 0.000 1
Na2 0.245 0.000 0.000 1
Sn1 0.089 0.000 0.500 1
As1 0.000 0.206 0.405 1
As2 0.159 0.223 0.606 1
# * magnetic moment: 0.0 μB per cell
# * formation energy from the elements: -0.476 eV per atom

=====

# KNa2SnAs2, optimized geometry, DFT PBE
data_KNa2SnAs2
_chemical_formula_sum 'K2 Na4 Sn2 As4'
_cell_length_a 5.137
_cell_length_b 8.232
_cell_length_c 7.768
_cell_angle_alpha 90.00
_cell_angle_beta 90.00
_cell_angle_gamma 90.00
_symmetry_space_group_name_H-M 'P m c 21'
_symmetry_Int_Tables_number 26
loop_
_symmetry_equiv_pos_as_xyz
'x,y,z'
'-x,-y,z+1/2'
'-x,y,z'
'x,-y,z+1/2'
loop_
_atom_site_label
_atom_site_fract_x
_atom_site_fract_y
_atom_site_fract_z
_atom_site_occupancy
K1 0.000 0.059 0.000 1
Na1 0.000 0.336 0.334 1
Na2 0.500 0.419 0.017 1
Sn1 0.500 0.188 0.650 1
As1 0.000 0.327 0.706 1
As2 0.500 0.132 0.288 1
# * magnetic moment: 0.0 μB per cell
# * formation energy from the elements: -0.366 eV per atom

=====

# KNaSnAs2, optimized geometry, DFT PBE
data_KNaSnAs2
_chemical_formula_sum 'K4 Na4 Sn4 As8'
_cell_length_a 15.559
_cell_length_b 4.428
_cell_length_c 9.813
_cell_angle_alpha 90.00
_cell_angle_beta 99.22
_cell_angle_gamma 90.00
_symmetry_space_group_name_H-M 'C 1 2/m 1'
_symmetry_Int_Tables_number 12
loop_
_symmetry_equiv_pos_as_xyz
'x,y,z'
'-x,-y,-z'
'-x,y,-z'
'x,-y,z'
'x+1/2,y+1/2,z'
'-x+1/2,-y+1/2,-z'
'-x+1/2,y+1/2,-z'
'x+1/2,-y+1/2,z'
loop_
_atom_site_label
_atom_site_fract_x
_atom_site_fract_y
_atom_site_fract_z
_atom_site_occupancy
K1 0.114 0.000 0.168 1
Na1 0.198 0.000 0.586 1
Sn1 0.055 0.500 0.674 1
As1 0.111 0.000 0.826 1
As2 0.114 0.500 0.428 1
# * magnetic moment: 0.0 μB per cell
# * formation energy from the elements: -0.317 eV per atom

=====

# KNaTe4As2, optimized geometry, DFT PBE
data_KNaTe4As2
_chemical_formula_sum 'K2 Na2 Te8 As4'
_cell_length_a 6.616
_cell_length_b 8.568
_cell_length_c 9.314
_cell_angle_alpha 90.00
_cell_angle_beta 90.00
_cell_angle_gamma 90.00
_symmetry_space_group_name_H-M 'I 2 2 2'
_symmetry_Int_Tables_number 23
loop_
_symmetry_equiv_pos_as_xyz
'x,y,z'
'-x,-y,z'
'x,-y,-z'
'-x,y,-z'
'x+1/2,y+1/2,z+1/2'
'-x+1/2,-y+1/2,z+1/2'
'x+1/2,-y+1/2,-z+1/2'
'-x+1/2,y+1/2,-z+1/2'
loop_
_atom_site_label
_atom_site_fract_x
_atom_site_fract_y
_atom_site_fract_z
_atom_site_occupancy
K1 0.000 0.000 0.000 1
Na1 0.000 0.000 0.500 1
Te1 0.249 0.250 0.250 1
As1 0.000 0.500 0.139 1
# * magnetic moment: 0.0 μB per cell
# * formation energy without anion corrections: -2.236 eV per formula unit

=====

# KNaTiAs2, optimized geometry, DFT PBE
data_KNaTiAs2
_chemical_formula_sum 'K1 Na1 Ti1 As2'
_cell_length_a 5.610
_cell_length_b 5.610
_cell_length_c 5.006
_cell_angle_alpha 90.00
_cell_angle_beta 90.00
_cell_angle_gamma 90.00
_symmetry_space_group_name_H-M 'P 4/m m m'
_symmetry_Int_Tables_number 123
_symmetry_space_group_name_Hall '-P 4 2'
loop_
_atom_site_label
_atom_site_fract_x
_atom_site_fract_y
_atom_site_fract_z
_atom_site_occupancy
K1 0.000 0.000 0.000 1
Na1 0.500 0.500 0.500 1
Ti1 0.000 0.000 0.500 1
As1 0.000 0.500 0.000 1
# * magnetic moment: 2.0 μB per cell
# * formation energy from the elements: 1.252 eV per atom